Record 1
Material: KMn2NiRh
Method: DFT, PBE
State: optimized geometry

Computed properties:
**Formation energy from the elements**: 1304 meV/atom
**Density**: 3935 kg/m3
**V**: 131 Å³ per cell
**Total magnetization**: 10.11 μB per cell

Unit cell a=4.8520 b=4.8520 c=5.5677 alpha=90.00 beta=90.00 gamma=90.00
Space group P4/mmm (No. 123)
Symmetry-distinct sites (fractional):
K  0.0000  0.0000  0.0000 x1
Mn  0.0000  0.5000  0.5000 x2
Ni  0.5000  0.5000  0.0000 x1
Rh  0.0000  0.0000  0.5000 x1

Record 2
Material: ScMn2Mo
Method: DFT, PBE
State: optimized geometry

Computed properties:
**Formation energy from the elements**: 273 meV/atom
**Density**: 6928 kg/m3
**V**: 120 Å³ per cell
**Total magnetization**: 6.61 μB per cell

Unit cell a=3.6960 b=3.6960 c=8.8005 alpha=90.00 beta=90.00 gamma=90.00
Space group I-4m2 (No. 119)
Symmetry-distinct sites (fractional):
Sc  0.0000  0.0000  0.0000 x2
Mn  0.0000  0.0000  0.5000 x2
Mn  0.0000  0.5000  0.7500 x2
Mo  0.0000  0.5000  0.2500 x2

Record 3
Material: NaSr2Al4Au3
Method: DFT, PBE
State: optimized geometry

Computed properties:
**Formation energy from the elements**: -447 meV/atom
**Density**: 6578 kg/m3
**V**: 226 Å³ per cell
**Total magnetization**: 0.00 μB per cell

Unit cell a=4.5005 b=4.5005 c=11.1806 alpha=90.00 beta=90.00 gamma=90.00
Space group P-4m2 (No. 115)
Symmetry-distinct sites (fractional):
Na  0.0000  0.0000  0.0000 x1
Sr  0.0000  0.5000  0.7399 x2
Al  0.0000  0.0000  0.5000 x1
Al  0.0000  0.5000  0.1476 x2
Al  0.5000  0.5000  0.5000 x1
Au  0.0000  0.5000  0.3765 x2
Au  0.5000  0.5000  0.0000 x1

Record 4
Material: PaPbBr
Method: DFT, PBE
State: optimized geometry

Computed properties:
**Density**: 10559 kg/m3
**Formation energy without anion corrections**: -1.0 eV per formula unit
**V**: 326 Å³ per cell
**Total magnetization**: 6.28 μB per cell

Unit cell a=4.4373 b=15.4132 c=4.7657 alpha=90.00 beta=90.00 gamma=90.00
Space group Cmcm (No. 63)
Symmetry-distinct sites (fractional):
Pa  0.0000  0.1082  0.2500 x4
Pb  0.0000  0.4333  0.2500 x4
Br  0.0000  0.2488  0.7500 x4